Entry from the Alexandria database: Sr2ZrCo after structural relaxation (GGA-PBEsol).

Summary:
E above lowest polymorph ... 0 meV/atom
Formation energy ... 0.27 eV per atom

The structure in POSCAR format:
```
Sr2ZrCo
1.0
-1.681 1.917 9.162
1.681 -1.917 9.162
1.681 1.917 -9.162
Sr Zr Co
2 1 1
Cartesian
0.000 0.000 2.828
0.000 0.000 15.496
0.000 1.917 0.000
1.681 0.000 0.000
```

Entry from the Alexandria database: CaTi2PbO6 after structural relaxation (GGA-PBEsol).

Summary:
Raw formation energy ... -2.73 eV per atom

The structure in POSCAR format:
```
CaTi2PbO6
1.0
3.853 0.000 0.000
0.000 3.853 0.000
0.000 0.000 8.122
Ca Ti Pb O
1 2 1 6
Cartesian
0.000 0.000 0.000
1.927 1.927 1.752
1.927 1.927 5.894
0.000 0.000 3.955
0.000 1.927 1.437
0.000 1.927 5.629
1.927 0.000 1.437
1.927 0.000 5.629
1.927 1.927 3.572
1.927 1.927 7.673
```

Entry from the Alexandria database: Zr2InSb after structural relaxation (GGA-PBEsol).

Summary:
E above lowest polymorph ... 0 meV/atom
Raw formation energy ... -0.41 eV per atom

The structure in POSCAR format:
```
Zr2InSb
1.0
3.862 0.000 0.000
0.000 3.862 0.000
0.000 0.000 5.994
Zr In Sb
2 1 1
Cartesian
0.000 0.000 0.000
1.931 1.931 1.562
0.000 0.000 2.907
1.931 1.931 4.639
```

Entry from the Alexandria database: KInP2Se6 after structural relaxation (GGA-PBEsol).

Summary:
Raw formation energy ... -0.41 eV per atom

The structure in POSCAR format:
```
KInP2Se6
1.0
7.472 0.000 0.000
0.000 6.460 0.000
-4.032 0.000 22.337
K In P Se
4 4 8 24
Cartesian
0.364 0.076 4.957
-1.653 3.154 16.126
5.092 3.306 6.211
3.076 6.384 17.380
-0.763 4.838 21.300
1.253 4.853 10.131
2.187 1.607 12.206
4.203 1.623 1.037
-0.455 1.604 9.088
-2.471 1.626 20.257
-0.397 1.581 19.358
1.620 1.649 8.189
1.820 4.811 14.148
3.836 4.879 2.980
5.911 4.834 2.081
3.894 4.856 13.249
-0.241 3.726 3.355
-2.257 5.964 14.524
-1.058 3.711 9.307
-3.074 5.979 20.476
-0.184 0.567 11.072
-2.200 2.663 22.240
-0.411 0.430 17.540
1.605 2.800 6.371
0.514 3.783 12.641
2.531 5.907 1.472
0.088 3.705 18.996
2.105 5.985 7.828
1.335 0.475 14.510
3.351 2.755 3.341
0.909 0.553 20.865
2.925 2.677 9.696
1.834 3.661 15.967
3.850 6.030 4.798
5.640 3.797 0.097
3.624 5.893 11.266
6.513 0.481 1.861
4.497 2.749 13.030
5.696 0.496 7.813
3.680 2.734 18.982
```

Entry from the Alexandria database: BaP2Ru after structural relaxation (GGA-PBEsol).

Summary:
Formation energy ... -0.47 eV per atom

The structure in POSCAR format:
```
BaP2Ru
1.0
4.198 0.000 0.000
0.000 1.902 6.111
0.000 -1.902 6.111
Ba P Ru
1 2 1
Cartesian
0.000 0.000 0.000
0.000 0.000 8.669
2.099 0.000 4.521
2.099 0.000 9.405
```

Entry from the Alexandria database: TcHOsW2 after structural relaxation (GGA-PBEsol).

Summary:
Raw total energy ... -10.772 eV per atom

The structure in POSCAR format:
```
TcHOsW2
1.0
3.980 0.000 0.000
0.000 3.980 0.000
0.000 0.000 3.872
Tc H Os W
1 1 1 2
Cartesian
0.000 0.000 0.000
0.000 0.000 1.936
1.990 1.990 0.000
0.000 1.990 1.936
1.990 0.000 1.936
```

Entry from the Alexandria database: LiTaSb after structural relaxation (GGA-PBEsol).

Summary:
E above lowest polymorph ... 0 meV/atom
Raw formation energy ... 0.15 eV per atom

The structure in POSCAR format:
```
LiTaSb
1.0
-1.533 1.845 4.635
1.533 -1.845 4.635
1.533 1.845 -4.635
Li Ta Sb
1 1 1
Cartesian
0.000 0.000 0.000
0.000 0.000 3.055
0.000 0.000 6.020
```

Entry from the Alexandria database: TlFe2Ru after structural relaxation (GGA-PBEsol).

Summary:
E above lowest polymorph ... 141 meV/atom
Formation energy ... 0.64 eV per atom

The structure in POSCAR format:
```
TlFe2Ru
1.0
1.403 0.810 8.569
-1.403 0.810 8.569
0.000 -1.620 8.569
Tl Fe Ru
1 2 1
Cartesian
0.000 0.000 0.000
0.000 0.000 6.248
0.000 0.000 19.457
0.000 0.000 12.853
```

Entry from the Alexandria database: RbInSN2 after structural relaxation (GGA-PBEsol).

Summary:
Raw formation energy ... 1.47 eV per atom

The structure in POSCAR format:
```
RbInSN2
1.0
4.361 0.000 0.000
0.000 4.361 0.000
0.000 0.000 4.884
Rb In S N
1 1 1 2
Cartesian
0.000 0.000 0.000
2.180 2.180 0.000
2.180 2.180 2.442
0.000 2.180 2.442
2.180 0.000 2.442
```

Entry from the Alexandria database: ZrHPdRu2 after structural relaxation (GGA-PBEsol).

Summary:
Raw total energy ... -7.037 eV per atom

The structure in POSCAR format:
```
ZrHPdRu2
1.0
4.867 0.000 0.000
0.000 4.867 0.000
0.000 0.000 3.104
Zr H Pd Ru
1 1 1 2
Cartesian
0.000 0.000 0.000
2.433 2.433 0.000
2.433 2.433 1.552
0.000 2.433 1.552
2.433 0.000 1.552
```

Entry from the Alexandria database: ScBi2H after structural relaxation (GGA-PBEsol).

Summary:
Raw total energy ... -4.645 eV per atom

The structure in POSCAR format:
```
ScBi2H
1.0
-3.447 3.447 3.538
3.447 -3.447 3.538
3.447 3.447 -3.538
Sc Bi H
2 4 2
Cartesian
0.000 0.000 0.000
0.000 3.447 1.769
1.723 2.335 -0.885
4.559 1.723 0.885
1.723 1.112 2.654
-1.112 1.723 4.423
3.447 0.000 1.769
0.000 0.000 3.538
```

Entry from the Alexandria database: NiBIr2Rh after structural relaxation (GGA-PBEsol).

Summary:
Formation energy ... 2.33 eV per atom

The structure in POSCAR format:
```
NiBIr2Rh
1.0
4.364 0.000 0.000
0.000 4.364 0.000
0.000 0.000 4.337
Ni B Ir Rh
1 1 2 1
Cartesian
0.000 0.000 0.000
2.182 2.182 2.168
0.000 2.182 0.000
2.182 0.000 0.000
0.000 0.000 2.168
```

Entry from the Alexandria database: Cs3TlCl6 after structural relaxation (GGA-PBEsol).

Summary:
Raw formation energy ... -1.46 eV per atom

The structure in POSCAR format:
```
Cs3TlCl6
1.0
0.000 5.719 5.719
5.719 0.000 5.719
5.719 5.719 0.000
Cs Tl Cl
3 1 6
Cartesian
0.000 0.000 0.000
2.860 2.860 2.860
8.579 8.579 8.579
5.719 5.719 5.719
5.719 5.719 3.145
5.719 3.145 5.719
8.293 5.719 5.719
3.145 5.719 5.719
5.719 8.293 5.719
5.719 5.719 8.293
```

Entry from the Alexandria database: Mn2SiMo after structural relaxation (GGA-PBEsol).

Summary:
Raw formation energy ... -0.24 eV per atom

The structure in POSCAR format:
```
Mn2SiMo
1.0
-1.484 1.950 4.075
1.484 -1.950 4.075
1.484 1.950 -4.075
Mn Si Mo
2 1 1
Cartesian
0.000 0.000 0.000
0.000 1.950 2.011
0.000 0.000 4.147
1.484 0.000 2.034
```

Entry from the Alexandria database: Cr2MoW after structural relaxation (GGA-PBEsol).

Summary:
Formation energy ... 0.10 eV per atom

The structure in POSCAR format:
```
Cr2MoW
1.0
2.994 0.000 0.000
0.000 2.994 0.000
0.000 0.000 5.990
Cr Mo W
2 1 1
Cartesian
0.000 0.000 0.000
1.497 1.497 1.401
0.000 0.000 2.855
1.497 1.497 4.523
```

Entry from the Alexandria database: Sb2SeBr after structural relaxation (GGA-PBEsol).

Summary:
E above lowest polymorph ... 0 meV/atom
Raw formation energy ... 0.03 eV per atom

The structure in POSCAR format:
```
Sb2SeBr
1.0
-3.994 3.994 3.375
3.994 -3.994 3.375
3.994 3.994 -3.375
Sb Se Br
4 2 2
Cartesian
1.997 1.836 -0.844
2.158 -1.997 4.218
1.997 2.158 2.531
1.836 5.991 0.844
0.000 0.000 0.000
0.000 3.994 1.687
3.994 0.000 1.687
0.000 0.000 3.375
```

Entry from the Alexandria database: Ba2InHg after structural relaxation (GGA-PBEsol).

Summary:
Formation energy ... -0.48 eV per atom

The structure in POSCAR format:
```
Ba2InHg
1.0
0.000 4.144 4.144
4.144 0.000 4.144
4.144 4.144 0.000
Ba In Hg
2 1 1
Cartesian
2.072 2.072 2.072
6.216 6.216 6.216
0.000 0.000 0.000
4.144 4.144 4.144
```

Entry from the Alexandria database: CoTc2 after structural relaxation (GGA-PBEsol).

Summary:
E above lowest polymorph ... 94 meV/atom
Formation energy ... 0.08 eV per atom

The structure in POSCAR format:
```
CoTc2
1.0
-1.294 1.877 3.931
1.294 -1.877 3.931
1.294 1.877 -3.931
Co Tc
1 2
Cartesian
0.000 0.000 0.000
0.000 0.000 2.653
0.000 0.000 5.208
```

Entry from the Alexandria database: AsOsAu3 after structural relaxation (GGA-PBEsol).

Summary:
E above lowest polymorph ... 77 meV/atom
Formation energy ... 1.60 eV per atom

The structure in POSCAR format:
```
AsOsAu3
1.0
4.898 0.000 0.000
0.000 4.898 0.000
0.000 0.000 4.898
As Os Au
1 1 3
Cartesian
0.000 0.000 0.000
2.449 2.449 2.449
0.000 2.449 2.449
2.449 0.000 2.449
2.449 2.449 0.000
```

Entry from the Alexandria database: ZnFeTc2 after structural relaxation (GGA-PBEsol).

Summary:
Formation energy ... 0.11 eV per atom

The structure in POSCAR format:
```
ZnFeTc2
1.0
1.321 0.763 8.593
-1.321 0.763 8.593
0.000 -1.526 8.593
Zn Fe Tc
1 1 2
Cartesian
0.000 0.000 0.000
0.000 0.000 12.889
0.000 0.000 6.321
0.000 0.000 19.458
```

Entry from the Alexandria database: Cr2ReTc after structural relaxation (GGA-PBEsol).

Summary:
Formation energy ... 0.13 eV per atom

The structure in POSCAR format:
```
Cr2ReTc
1.0
2.591 -4.105 0.000
2.591 4.105 0.000
-0.890 0.000 2.434
Cr Re Tc
2 1 1
Cartesian
1.295 2.053 0.000
1.295 -2.053 0.000
-0.445 0.000 1.217
2.146 0.000 1.217
```

Entry from the Alexandria database: LiCrCd2Ni after structural relaxation (GGA-PBEsol).

Summary:
Formation energy ... 0.75 eV per atom

The structure in POSCAR format:
```
LiCrCd2Ni
1.0
4.502 0.000 0.000
0.000 4.502 0.000
0.000 0.000 4.032
Li Cr Cd Ni
1 1 2 1
Cartesian
0.000 0.000 0.000
2.251 2.251 2.016
0.000 2.251 0.000
2.251 0.000 0.000
0.000 0.000 2.016
```

Entry from the Alexandria database: Zn2RhPb after structural relaxation (GGA-PBEsol).

Summary:
Formation energy ... 0.03 eV per atom

The structure in POSCAR format:
```
Zn2RhPb
1.0
-1.985 1.985 4.140
1.985 -1.985 4.140
1.985 1.985 -4.140
Zn Rh Pb
2 1 1
Cartesian
1.985 0.000 2.070
0.000 1.985 2.070
0.000 0.000 0.000
0.000 0.000 4.140
```

Entry from the Alexandria database: BiCSe2O after structural relaxation (GGA-PBEsol).

Summary:
Raw formation energy ... 1.35 eV per atom

The structure in POSCAR format:
```
BiCSe2O
1.0
4.230 0.000 0.000
0.000 4.230 0.000
0.000 0.000 5.023
Bi C Se O
1 1 2 1
Cartesian
0.000 0.000 0.000
2.115 2.115 0.000
0.000 2.115 2.511
2.115 0.000 2.511
0.000 0.000 2.511
```

Entry from the Alexandria database: LiMn2F6 after structural relaxation (GGA-PBEsol).

Summary:
E above lowest polymorph ... 0 meV/atom
Raw formation energy ... -2.44 eV per atom

The structure in POSCAR format:
```
LiMn2F6
1.0
2.759 -4.384 0.000
2.759 4.384 0.000
-0.077 0.000 4.373
Li Mn F
1 2 6
Cartesian
0.000 0.000 0.000
2.721 1.538 2.186
2.721 -1.538 2.186
1.836 2.890 3.247
3.605 2.890 1.126
1.959 0.000 3.168
3.482 0.000 1.205
1.836 -2.890 3.247
3.605 -2.890 1.126
```

Entry from the Alexandria database: BeTlIr3 after structural relaxation (GGA-PBEsol).

Summary:
Formation energy ... 0.45 eV per atom

The structure in POSCAR format:
```
BeTlIr3
1.0
4.193 0.000 0.000
0.000 4.193 0.000
0.000 0.000 4.193
Be Tl Ir
1 1 3
Cartesian
0.000 0.000 0.000
2.096 2.096 2.096
0.000 0.000 2.096
0.000 2.096 0.000
2.096 0.000 0.000
```

Entry from the Alexandria database: LiCdPb2 after structural relaxation (GGA-PBEsol).

Summary:
Formation energy ... -0.07 eV per atom

The structure in POSCAR format:
```
LiCdPb2
1.0
2.303 -2.427 0.000
2.303 2.427 0.000
0.000 0.000 8.600
Li Cd Pb
1 1 2
Cartesian
0.000 0.000 0.000
0.000 0.000 4.300
2.303 0.000 2.005
2.303 0.000 6.594
```

no.,calculated density (g/cm3)
1,4.6
2,6.0
3,7.8
4,4.2
5,5.1
6,17.8
7,9.8
8,11.9
9,4.7
10,9.1
11,9.2
12,11.2
13,3.6
14,8.2
15,11.9
16,6.2
17,6.9
18,11.1
19,12.1
20,10.1
21,12.4
22,7.0
23,11.2
24,7.3
25,3.6
26,17.8
27,9.2